(1)
# MgScN2O

MgScN2O after structural relaxation (PBE, Alexandria).

ΔE_f (raw)   -0.203 eV per atom
E_tot   -6.11 eV per atom

Cell and atoms, written as CIF:
```
data_MgScN2O
_chemical_formula_sum 'Mg1 Sc1 N2 O1'
_symmetry_space_group_name_H-M 'P 4/m m m'
_symmetry_Int_Tables_number 123
_symmetry_space_group_name_Hall '-P 4 2'
_cell_length_a 4.186
_cell_length_b 4.186
_cell_length_c 4.009
_cell_angle_alpha 90.00
_cell_angle_beta 90.00
_cell_angle_gamma 90.00
loop_
_atom_site_label
_atom_site_fract_x
_atom_site_fract_y
_atom_site_fract_z
_atom_site_occupancy
Mg1 0.000 0.000 0.000 1
Sc1 0.500 0.500 0.500 1
N1 0.000 0.500 0.500 1
O1 0.500 0.500 0.000 1
```

---

(2)
# MgScNO2

MgScNO2 after structural relaxation (PBE, Alexandria).

ΔE_f (raw)   -1.112 eV per atom
E_tot   -6.35 eV per atom

Cell and atoms, written as CIF:
```
data_MgScNO2
_chemical_formula_sum 'Mg1 Sc1 N1 O2'
_symmetry_space_group_name_H-M 'P 4/m m m'
_symmetry_Int_Tables_number 123
_symmetry_space_group_name_Hall '-P 4 2'
_cell_length_a 4.048
_cell_length_b 4.048
_cell_length_c 4.183
_cell_angle_alpha 90.00
_cell_angle_beta 90.00
_cell_angle_gamma 90.00
loop_
_atom_site_label
_atom_site_fract_x
_atom_site_fract_y
_atom_site_fract_z
_atom_site_occupancy
Mg1 0.000 0.000 0.000 1
Sc1 0.500 0.500 0.500 1
N1 0.500 0.500 0.000 1
O1 0.000 0.500 0.500 1
```

---

(3)
# MgScNO2

MgScNO2 after structural relaxation (PBE, Alexandria).

ΔE_f (raw)   -0.995 eV per atom
E_tot   -6.23 eV per atom

Cell and atoms, written as CIF:
```
data_MgScNO2
_chemical_formula_sum 'Mg1 Sc1 N1 O2'
_symmetry_space_group_name_H-M 'P 4/m m m'
_symmetry_Int_Tables_number 123
_symmetry_space_group_name_Hall '-P 4 2'
_cell_length_a 3.788
_cell_length_b 3.788
_cell_length_c 3.931
_cell_angle_alpha 90.00
_cell_angle_beta 90.00
_cell_angle_gamma 90.00
loop_
_atom_site_label
_atom_site_fract_x
_atom_site_fract_y
_atom_site_fract_z
_atom_site_occupancy
Mg1 0.000 0.000 0.000 1
Sc1 0.500 0.500 0.500 1
N1 0.000 0.000 0.500 1
O1 0.000 0.500 0.000 1
```

---

(4)
# MgSeN2O

MgSeN2O after structural relaxation (PBE, Alexandria).

ΔE_f (raw)   0.647 eV per atom
E_tot   -4.69 eV per atom

Cell and atoms, written as CIF:
```
data_MgSeN2O
_chemical_formula_sum 'Mg1 Se1 N2 O1'
_symmetry_space_group_name_H-M 'P 4/m m m'
_symmetry_Int_Tables_number 123
_symmetry_space_group_name_Hall '-P 4 2'
_cell_length_a 3.749
_cell_length_b 3.749
_cell_length_c 3.910
_cell_angle_alpha 90.00
_cell_angle_beta 90.00
_cell_angle_gamma 90.00
loop_
_atom_site_label
_atom_site_fract_x
_atom_site_fract_y
_atom_site_fract_z
_atom_site_occupancy
Mg1 0.000 0.000 0.000 1
Se1 0.500 0.500 0.500 1
N1 0.000 0.500 0.500 1
O1 0.500 0.500 0.000 1
```

---

(5)
# MgSeN2O

MgSeN2O after structural relaxation (PBE, Alexandria).

ΔE_f (raw)   1.797 eV per atom
E_tot   -3.54 eV per atom

Cell and atoms, written as CIF:
```
data_MgSeN2O
_chemical_formula_sum 'Mg1 Se1 N2 O1'
_symmetry_space_group_name_H-M 'P 4/m m m'
_symmetry_Int_Tables_number 123
_symmetry_space_group_name_Hall '-P 4 2'
_cell_length_a 3.874
_cell_length_b 3.874
_cell_length_c 5.759
_cell_angle_alpha 90.00
_cell_angle_beta 90.00
_cell_angle_gamma 90.00
loop_
_atom_site_label
_atom_site_fract_x
_atom_site_fract_y
_atom_site_fract_z
_atom_site_occupancy
Mg1 0.000 0.000 0.000 1
Se1 0.000 0.000 0.500 1
N1 0.000 0.500 0.000 1
O1 0.500 0.500 0.500 1
```

---

(6)
# MgSeNO2

MgSeNO2 after structural relaxation (PBE, Alexandria).

ΔE_f (raw)   -0.082 eV per atom
E_tot   -4.75 eV per atom

Cell and atoms, written as CIF:
```
data_MgSeNO2
_chemical_formula_sum 'Mg1 Se1 N1 O2'
_symmetry_space_group_name_H-M 'P 4/m m m'
_symmetry_Int_Tables_number 123
_symmetry_space_group_name_Hall '-P 4 2'
_cell_length_a 3.846
_cell_length_b 3.846
_cell_length_c 3.834
_cell_angle_alpha 90.00
_cell_angle_beta 90.00
_cell_angle_gamma 90.00
loop_
_atom_site_label
_atom_site_fract_x
_atom_site_fract_y
_atom_site_fract_z
_atom_site_occupancy
Mg1 0.000 0.000 0.000 1
Se1 0.500 0.500 0.500 1
N1 0.500 0.500 0.000 1
O1 0.000 0.500 0.500 1
```

---

(7)
# MgSeN2O

MgSeN2O after structural relaxation (PBE, Alexandria).

ΔE_f (raw)   1.282 eV per atom
E_tot   -4.06 eV per atom

Cell and atoms, written as CIF:
```
data_MgSeN2O
_chemical_formula_sum 'Mg1 Se1 N2 O1'
_symmetry_space_group_name_H-M 'P 4/m m m'
_symmetry_Int_Tables_number 123
_symmetry_space_group_name_Hall '-P 4 2'
_cell_length_a 4.157
_cell_length_b 4.157
_cell_length_c 3.759
_cell_angle_alpha 90.00
_cell_angle_beta 90.00
_cell_angle_gamma 90.00
loop_
_atom_site_label
_atom_site_fract_x
_atom_site_fract_y
_atom_site_fract_z
_atom_site_occupancy
Mg1 0.000 0.000 0.000 1
Se1 0.500 0.500 0.500 1
N1 0.000 0.500 0.000 1
O1 0.000 0.000 0.500 1
```

---

(8)
# MgSeN2O

MgSeN2O after structural relaxation (PBE, Alexandria).

ΔE_f (raw)   1.516 eV per atom
E_tot   -3.82 eV per atom

Cell and atoms, written as CIF:
```
data_MgSeN2O
_chemical_formula_sum 'Mg1 Se1 N2 O1'
_symmetry_space_group_name_H-M 'P 4/m m m'
_symmetry_Int_Tables_number 123
_symmetry_space_group_name_Hall '-P 4 2'
_cell_length_a 3.913
_cell_length_b 3.913
_cell_length_c 4.010
_cell_angle_alpha 90.00
_cell_angle_beta 90.00
_cell_angle_gamma 90.00
loop_
_atom_site_label
_atom_site_fract_x
_atom_site_fract_y
_atom_site_fract_z
_atom_site_occupancy
Mg1 0.000 0.000 0.000 1
Se1 0.500 0.500 0.000 1
N1 0.000 0.500 0.500 1
O1 0.500 0.500 0.500 1
```

---

(9)
# MgSeNO2

MgSeNO2 after structural relaxation (PBE, Alexandria).

ΔE_f (raw)   0.517 eV per atom
E_tot   -4.15 eV per atom

Cell and atoms, written as CIF:
```
data_MgSeNO2
_chemical_formula_sum 'Mg1 Se1 N1 O2'
_symmetry_space_group_name_H-M 'P 4/m m m'
_symmetry_Int_Tables_number 123
_symmetry_space_group_name_Hall '-P 4 2'
_cell_length_a 3.817
_cell_length_b 3.817
_cell_length_c 4.213
_cell_angle_alpha 90.00
_cell_angle_beta 90.00
_cell_angle_gamma 90.00
loop_
_atom_site_label
_atom_site_fract_x
_atom_site_fract_y
_atom_site_fract_z
_atom_site_occupancy
Mg1 0.000 0.000 0.000 1
Se1 0.500 0.500 0.500 1
N1 0.000 0.000 0.500 1
O1 0.000 0.500 0.000 1
```

---

(10)
# MgSiN2O

MgSiN2O after structural relaxation (PBE, Alexandria).

ΔE_f (raw)   1.113 eV per atom
E_tot   -4.61 eV per atom

Cell and atoms, written as CIF:
```
data_MgSiN2O
_chemical_formula_sum 'Mg1 Si1 N2 O1'
_symmetry_space_group_name_H-M 'P 4/m m m'
_symmetry_Int_Tables_number 123
_symmetry_space_group_name_Hall '-P 4 2'
_cell_length_a 4.091
_cell_length_b 4.091
_cell_length_c 3.816
_cell_angle_alpha 90.00
_cell_angle_beta 90.00
_cell_angle_gamma 90.00
loop_
_atom_site_label
_atom_site_fract_x
_atom_site_fract_y
_atom_site_fract_z
_atom_site_occupancy
Mg1 0.000 0.000 0.000 1
Si1 0.500 0.500 0.500 1
N1 0.000 0.500 0.000 1
O1 0.000 0.000 0.500 1
```

---

(11)
# MgSiN2O

MgSiN2O after structural relaxation (PBE, Alexandria).

ΔE_f (raw)   -0.550 eV per atom
E_tot   -6.28 eV per atom

Cell and atoms, written as CIF:
```
data_MgSiN2O
_chemical_formula_sum 'Mg1 Si1 N2 O1'
_symmetry_space_group_name_H-M 'P 4/m m m'
_symmetry_Int_Tables_number 123
_symmetry_space_group_name_Hall '-P 4 2'
_cell_length_a 3.563
_cell_length_b 3.563
_cell_length_c 3.681
_cell_angle_alpha 90.00
_cell_angle_beta 90.00
_cell_angle_gamma 90.00
loop_
_atom_site_label
_atom_site_fract_x
_atom_site_fract_y
_atom_site_fract_z
_atom_site_occupancy
Mg1 0.000 0.000 0.000 1
Si1 0.500 0.500 0.500 1
N1 0.000 0.500 0.500 1
O1 0.500 0.500 0.000 1
```

---

(12)
# Sm6Mg2NO

Sm6Mg2NO after structural relaxation (PBE, Alexandria).

ΔE_f (raw)   -0.927 eV per atom
E_tot   -5.41 eV per atom

Cell and atoms, written as CIF:
```
data_Sm6Mg2NO
_chemical_formula_sum 'Sm12 Mg4 N2 O2'
_symmetry_space_group_name_H-M 'I 4/m m m'
_symmetry_Int_Tables_number 139
_symmetry_space_group_name_Hall '-I 4 2'
_cell_length_a 7.040
_cell_length_b 7.040
_cell_length_c 9.938
_cell_angle_alpha 90.00
_cell_angle_beta 90.00
_cell_angle_gamma 90.00
loop_
_atom_site_label
_atom_site_fract_x
_atom_site_fract_y
_atom_site_fract_z
_atom_site_occupancy
Sm1 0.000 0.000 0.248 1
Sm2 0.248 0.248 0.000 1
Mg1 0.000 0.500 0.250 1
N1 0.000 0.000 0.000 1
O1 0.000 0.000 0.500 1
```

---

(13)
# SrMgN2O

SrMgN2O after structural relaxation (PBE, Alexandria).

ΔE_f (raw)   1.027 eV per atom
E_tot   -3.95 eV per atom

Cell and atoms, written as CIF:
```
data_SrMgN2O
_chemical_formula_sum 'Sr1 Mg1 N2 O1'
_symmetry_space_group_name_H-M 'P 4/m m m'
_symmetry_Int_Tables_number 123
_symmetry_space_group_name_Hall '-P 4 2'
_cell_length_a 4.803
_cell_length_b 4.803
_cell_length_c 4.528
_cell_angle_alpha 90.00
_cell_angle_beta 90.00
_cell_angle_gamma 90.00
loop_
_atom_site_label
_atom_site_fract_x
_atom_site_fract_y
_atom_site_fract_z
_atom_site_occupancy
Sr1 0.000 0.000 0.000 1
Mg1 0.500 0.500 0.500 1
N1 0.000 0.500 0.000 1
O1 0.000 0.000 0.500 1
```

---

(14)
# SrMgN2O

SrMgN2O after structural relaxation (PBE, Alexandria).

ΔE_f (raw)   -0.158 eV per atom
E_tot   -5.13 eV per atom

Cell and atoms, written as CIF:
```
data_SrMgN2O
_chemical_formula_sum 'Sr1 Mg1 N2 O1'
_symmetry_space_group_name_H-M 'P 4/m m m'
_symmetry_Int_Tables_number 123
_symmetry_space_group_name_Hall '-P 4 2'
_cell_length_a 4.195
_cell_length_b 4.195
_cell_length_c 4.032
_cell_angle_alpha 90.00
_cell_angle_beta 90.00
_cell_angle_gamma 90.00
loop_
_atom_site_label
_atom_site_fract_x
_atom_site_fract_y
_atom_site_fract_z
_atom_site_occupancy
Sr1 0.000 0.000 0.000 1
Mg1 0.500 0.500 0.500 1
N1 0.000 0.500 0.500 1
O1 0.500 0.500 0.000 1
```